--- a ---
Here is a relaxed LaMn3V crystal from the Alexandria database. Energies are from PBE.

Properties
V, Å³ per cell: 98
Space-group type: No. 221
Spin magnetization, μB/atom: 1.457

Unit cell a=4.6055 b=4.6055 c=4.6055 alpha=90.00 beta=90.00 gamma=90.00
Fractional coordinates of all 5 atoms:
La 0.0000 0.0000 0.0000
Mn 0.0000 0.5000 0.5000
Mn 0.5000 0.0000 0.5000
Mn 0.5000 0.5000 0.0000
V 0.5000 0.5000 0.5000

--- b ---
Here is a relaxed LaMn3V crystal from the Alexandria database. Energies are from PBE.

Properties
V, Å³ per cell: 96
Space-group type: No. 221
Spin magnetization, μB/atom: 0.669

Unit cell a=4.5722 b=4.5722 c=4.5722 alpha=90.00 beta=90.00 gamma=90.00
Fractional coordinates of all 5 atoms:
La 0.0000 0.0000 0.0000
Mn 0.0000 0.0000 0.5000
Mn 0.0000 0.5000 0.0000
Mn 0.5000 0.0000 0.0000
V 0.5000 0.5000 0.5000

Stability summary - winner: a; margin: 1.274 eV/atom.

--- a ---
Here is a relaxed LaMnW3 crystal from the Alexandria database. Energies are from PBE.

Properties
V, Å³ per cell: 107
Space-group type: No. 221
Spin magnetization, μB/atom: 0.009

Unit cell a=4.7514 b=4.7514 c=4.7514 alpha=90.00 beta=90.00 gamma=90.00
Fractional coordinates of all 5 atoms:
La 0.0000 0.0000 0.0000
Mn 0.5000 0.5000 0.5000
W 0.0000 0.0000 0.5000
W 0.0000 0.5000 0.0000
W 0.5000 0.0000 0.0000

--- b ---
Here is a relaxed LaMnW3 crystal from the Alexandria database. Energies are from PBE.

Properties
V, Å³ per cell: 101
Space-group type: No. 221
Spin magnetization, μB/atom: 0.330

Unit cell a=4.6520 b=4.6520 c=4.6520 alpha=90.00 beta=90.00 gamma=90.00
Fractional coordinates of all 5 atoms:
La 0.0000 0.0000 0.0000
Mn 0.5000 0.5000 0.5000
W 0.0000 0.5000 0.5000
W 0.5000 0.0000 0.5000
W 0.5000 0.5000 0.0000

Stability summary - winner: b; margin: 2.253 eV/atom.

--- a ---
Here is a relaxed LaMnW crystal from the Alexandria database. Energies are from PBE.

Properties
V, Å³ per cell: 67
Space-group type: No. 156
Spin magnetization, μB/atom: 0.002

Unit cell a=4.0272 b=4.0272 c=4.7771 alpha=90.00 beta=90.00 gamma=120.00
Fractional coordinates of all 3 atoms:
La 0.0000 0.0000 0.0000
Mn 0.6667 0.3333 0.4737
W 0.3333 0.6667 0.5120

--- b ---
Here is a relaxed LaMnW crystal from the Alexandria database. Energies are from PBE.

Properties
V, Å³ per cell: 72
Space-group type: No. 216
Spin magnetization, μB/atom: 0.518

Unit cell a=4.6782 b=4.6782 c=4.6782 alpha=60.00 beta=60.00 gamma=60.00
Fractional coordinates of all 3 atoms:
La 0.0000 0.0000 0.0000
Mn 0.7500 0.7500 0.7500
W 0.2500 0.2500 0.2500

Stability summary - winner: a; margin: 1.262 eV/atom.

--- a ---
Here is a relaxed LaMnW crystal from the Alexandria database. Energies are from PBE.

Properties
V, Å³ per cell: 58
Space-group type: No. 42
Spin magnetization, μB/atom: 0.625

Unit cell a=7.5212 b=7.3002 c=2.9553 alpha=82.73 beta=74.33 gamma=22.94
Fractional coordinates of all 3 atoms:
La 0.0000 0.0000 0.0000
Mn 0.6816 0.6816 0.3184
W 0.3065 0.3065 0.6935

--- b ---
Here is a relaxed LaMnW crystal from the Alexandria database. Energies are from PBE.

Properties
V, Å³ per cell: 59
Space-group type: No. 107
Spin magnetization, μB/atom: 0.000

Unit cell a=6.3893 b=6.3893 c=6.3893 alpha=151.69 beta=151.69 gamma=40.47
Fractional coordinates of all 3 atoms:
La 0.0000 0.0000 0.0000
Mn 0.6985 0.6985 0.0000
W 0.2900 0.2900 0.0000

Stability summary - winner: b; margin: 0.265 eV/atom.

--- a ---
Here is a relaxed LaMnW crystal from the Alexandria database. Energies are from PBE.

Properties
V, Å³ per cell: 63
Space-group type: No. 216
Spin magnetization, μB/atom: 0.000

Unit cell a=4.4600 b=4.4600 c=4.4600 alpha=60.00 beta=60.00 gamma=60.00
Fractional coordinates of all 3 atoms:
La 0.0000 0.0000 0.0000
Mn 0.7500 0.7500 0.7500
W 0.5000 0.5000 0.5000

--- b ---
Here is a relaxed LaMnW crystal from the Alexandria database. Energies are from PBE.

Properties
V, Å³ per cell: 60
Space-group type: No. 156
Spin magnetization, μB/atom: 0.404

Unit cell a=3.1310 b=3.1310 c=7.0754 alpha=90.00 beta=90.00 gamma=120.00
Fractional coordinates of all 3 atoms:
La 0.0000 0.0000 0.0000
Mn 0.6667 0.3333 0.3798
W 0.3333 0.6667 0.6058

Stability summary - winner: b; margin: 0.202 eV/atom.

--- a ---
Here is a relaxed LaY2Mn crystal from the Alexandria database. Energies are from PBE.

Properties
V, Å³ per cell: 113
Space-group type: No. 44
Spin magnetization, μB/atom: 0.622

Unit cell a=6.4394 b=6.4394 c=6.4394 alpha=146.14 beta=129.70 gamma=62.03
Fractional coordinates of all 4 atoms:
La 0.0000 0.0000 0.0000
Y 0.4124 0.4124 0.0000
Y 0.7052 0.2052 0.5000
Mn 0.2061 0.7061 0.5000

--- b ---
Here is a relaxed LaY2Mn crystal from the Alexandria database. Energies are from PBE.

Properties
V, Å³ per cell: 115
Space-group type: No. 65
Spin magnetization, μB/atom: 0.882

Unit cell a=5.7644 b=5.7644 c=3.5947 alpha=90.00 beta=90.00 gamma=106.12
Fractional coordinates of all 4 atoms:
La 0.0000 0.0000 0.0000
Y 0.0000 0.5000 0.5000
Y 0.5000 0.0000 0.5000
Mn 0.5000 0.5000 0.0000

Stability summary - winner: a; margin: 0.124 eV/atom.

--- a ---
Here is a relaxed LaY2Mn crystal from the Alexandria database. Energies are from PBE.

Properties
V, Å³ per cell: 115
Space-group type: No. 123
Spin magnetization, μB/atom: 0.729

Unit cell a=3.5173 b=3.5173 c=9.2842 alpha=90.00 beta=90.00 gamma=90.00
Fractional coordinates of all 4 atoms:
La 0.0000 0.0000 0.0000
Y 0.5000 0.5000 0.3108
Y 0.5000 0.5000 0.6892
Mn 0.0000 0.0000 0.5000

--- b ---
Here is a relaxed LaY2Mn crystal from the Alexandria database. Energies are from PBE.

Properties
V, Å³ per cell: 116
Space-group type: No. 71
Spin magnetization, μB/atom: 0.694

Unit cell a=6.6523 b=6.6523 c=6.6523 alpha=147.86 beta=131.38 gamma=59.48
Fractional coordinates of all 4 atoms:
La 0.0000 0.0000 0.0000
Y 0.2903 0.7903 0.5000
Y 0.7097 0.2097 0.5000
Mn 0.5000 0.5000 0.0000

--- c ---
Here is a relaxed LaY2Mn crystal from the Alexandria database. Energies are from PBE.

Properties
V, Å³ per cell: 116
Space-group type: No. 99
Spin magnetization, μB/atom: 1.014

Unit cell a=3.6317 b=3.6317 c=8.8188 alpha=90.00 beta=90.00 gamma=90.00
Fractional coordinates of all 4 atoms:
La 0.0000 0.0000 0.0000
Y 0.0000 0.0000 0.4095
Y 0.5000 0.5000 0.6962
Mn 0.5000 0.5000 0.2146

--- d ---
Here is a relaxed LaY2Mn crystal from the Alexandria database. Energies are from PBE.

Properties
V, Å³ per cell: 101
Space-group type: No. 225
Spin magnetization, μB/atom: 0.000

Unit cell a=5.2224 b=5.2224 c=5.2224 alpha=60.00 beta=60.00 gamma=60.00
Fractional coordinates of all 4 atoms:
La 0.0000 0.0000 0.0000
Y 0.2500 0.2500 0.2500
Y 0.7500 0.7500 0.7500
Mn 0.5000 0.5000 0.5000

Stability summary - winner: a; margin: 0.039 eV/atom.

--- a ---
Here is a relaxed LaY2Mn crystal from the Alexandria database. Energies are from PBE.

Properties
V, Å³ per cell: 117
Space-group type: No. 12
Spin magnetization, μB/atom: 0.764

Unit cell a=6.6250 b=6.6250 c=3.4717 alpha=103.85 beta=103.85 gamma=119.47
Fractional coordinates of all 4 atoms:
La 0.0000 0.0000 0.0000
Y 0.0000 0.5000 0.5000
Y 0.5000 0.0000 0.5000
Mn 0.5000 0.5000 0.0000

--- b ---
Here is a relaxed LaY2Mn crystal from the Alexandria database. Energies are from PBE.

Properties
V, Å³ per cell: 115
Space-group type: No. 47
Spin magnetization, μB/atom: 0.723

Unit cell a=4.7897 b=4.8211 c=4.9917 alpha=90.00 beta=90.00 gamma=90.00
Fractional coordinates of all 4 atoms:
La 0.0000 0.0000 0.0000
Y 0.0000 0.5000 0.5000
Y 0.5000 0.0000 0.5000
Mn 0.5000 0.5000 0.0000

--- c ---
Here is a relaxed LaY2Mn crystal from the Alexandria database. Energies are from PBE.

Properties
V, Å³ per cell: 115
Space-group type: No. 119
Spin magnetization, μB/atom: 0.819

Unit cell a=5.9484 b=5.9484 c=5.9484 alpha=131.74 beta=131.74 gamma=70.64
Fractional coordinates of all 4 atoms:
La 0.0000 0.0000 0.0000
Y 0.5000 0.5000 0.0000
Y 0.7500 0.2500 0.5000
Mn 0.2500 0.7500 0.5000

Stability summary - winner: b; margin: 0.016 eV/atom.

--- a ---
Here is a relaxed LaY2Mn crystal from the Alexandria database. Energies are from PBE.

Properties
V, Å³ per cell: 115
Space-group type: No. 139
Spin magnetization, μB/atom: 0.726

Unit cell a=6.0610 b=6.0610 c=6.0610 alpha=133.46 beta=133.46 gamma=67.93
Fractional coordinates of all 4 atoms:
La 0.0000 0.0000 0.0000
Y 0.2500 0.7500 0.5000
Y 0.7500 0.2500 0.5000
Mn 0.5000 0.5000 0.0000

--- b ---
Here is a relaxed LaY2Mn crystal from the Alexandria database. Energies are from PBE.

Properties
V, Å³ per cell: 116
Space-group type: No. 10
Spin magnetization, μB/atom: 0.828

Unit cell a=3.5798 b=5.0601 c=6.6409 alpha=90.00 beta=104.82 gamma=90.00
Fractional coordinates of all 4 atoms:
La 0.0000 0.0000 0.0000
Y 0.3968 0.5000 0.7239
Y 0.6032 0.5000 0.2761
Mn 0.0000 0.0000 0.5000

--- c ---
Here is a relaxed LaY2Mn crystal from the Alexandria database. Energies are from PBE.

Properties
V, Å³ per cell: 116
Space-group type: No. 166
Spin magnetization, μB/atom: 0.815

Unit cell a=10.9539 b=10.9539 c=10.9539 alpha=18.57 beta=18.57 gamma=18.57
Fractional coordinates of all 4 atoms:
La 0.0000 0.0000 0.0000
Y 0.2360 0.2360 0.2360
Y 0.7640 0.7640 0.7640
Mn 0.5000 0.5000 0.5000

Stability summary - winner: b; margin: 0.009 eV/atom.

--- a ---
Here is a relaxed LaYMn crystal from the Alexandria database. Energies are from PBE.

Properties
V, Å³ per cell: 84
Space-group type: No. 107
Spin magnetization, μB/atom: 0.963

Unit cell a=7.0382 b=7.0382 c=7.0382 alpha=150.49 beta=150.49 gamma=42.22
Fractional coordinates of all 3 atoms:
La 0.0000 0.0000 0.0000
Y 0.2727 0.2727 0.0000
Mn 0.6439 0.6439 0.0000

--- b ---
Here is a relaxed LaYMn crystal from the Alexandria database. Energies are from PBE.

Properties
V, Å³ per cell: 86
Space-group type: No. 216
Spin magnetization, μB/atom: 0.518

Unit cell a=4.9631 b=4.9631 c=4.9631 alpha=60.00 beta=60.00 gamma=60.00
Fractional coordinates of all 3 atoms:
La 0.0000 0.0000 0.0000
Y 0.5000 0.5000 0.5000
Mn 0.2500 0.2500 0.2500

--- c ---
Here is a relaxed LaYMn crystal from the Alexandria database. Energies are from PBE.

Properties
V, Å³ per cell: 83
Space-group type: No. 156
Spin magnetization, μB/atom: 0.964

Unit cell a=5.1577 b=5.1577 c=3.6224 alpha=90.00 beta=90.00 gamma=120.00
Fractional coordinates of all 3 atoms:
La 0.0000 0.0000 0.0000
Y 0.3333 0.6667 0.5175
Mn 0.6667 0.3333 0.4540

Stability summary - winner: a; margin: 0.116 eV/atom.

--- a ---
Here is a relaxed LaMn3Zn crystal from the Alexandria database. Energies are from PBE.

Properties
V, Å³ per cell: 88
Space-group type: No. 221
Spin magnetization, μB/atom: 0.000

Unit cell a=4.4491 b=4.4491 c=4.4491 alpha=90.00 beta=90.00 gamma=90.00
Fractional coordinates of all 5 atoms:
La 0.0000 0.0000 0.0000
Mn 0.0000 0.0000 0.5000
Mn 0.0000 0.5000 0.0000
Mn 0.5000 0.0000 0.0000
Zn 0.5000 0.5000 0.5000

--- b ---
Here is a relaxed LaMn3Zn crystal from the Alexandria database. Energies are from PBE.

Properties
V, Å³ per cell: 92
Space-group type: No. 221
Spin magnetization, μB/atom: 0.220

Unit cell a=4.5125 b=4.5125 c=4.5125 alpha=90.00 beta=90.00 gamma=90.00
Fractional coordinates of all 5 atoms:
La 0.0000 0.0000 0.0000
Mn 0.0000 0.5000 0.5000
Mn 0.5000 0.0000 0.5000
Mn 0.5000 0.5000 0.0000
Zn 0.5000 0.5000 0.5000

Stability summary - winner: b; margin: 0.750 eV/atom.

--- a ---
Here is a relaxed LaMn2Zn2 crystal from the Alexandria database. Energies are from PBE.

Properties
V, Å³ per cell: 161
Space-group type: No. 127
Spin magnetization, μB/atom: 0.000

Unit cell a=7.6904 b=7.6904 c=2.7276 alpha=90.00 beta=90.00 gamma=90.00
Fractional coordinates of all 10 atoms:
La 0.0000 0.0000 0.0000
La 0.5000 0.5000 0.0000
Mn 0.1699 0.3301 0.5000
Mn 0.3301 0.8301 0.5000
Mn 0.6699 0.1699 0.5000
Mn 0.8301 0.6699 0.5000
Zn 0.1219 0.6219 0.0000
Zn 0.3781 0.1219 0.0000
Zn 0.6219 0.8781 0.0000
Zn 0.8781 0.3781 0.0000

--- b ---
Here is a relaxed LaMn2Zn2 crystal from the Alexandria database. Energies are from PBE.

Properties
V, Å³ per cell: 96
Space-group type: No. 139
Spin magnetization, μB/atom: 1.173

Unit cell a=6.3691 b=6.3691 c=6.3691 alpha=142.26 beta=142.26 gamma=54.44
Fractional coordinates of all 5 atoms:
La 0.0000 0.0000 0.0000
Mn 0.3873 0.3873 0.0000
Mn 0.6127 0.6127 0.0000
Zn 0.2500 0.7500 0.5000
Zn 0.7500 0.2500 0.5000

--- c ---
Here is a relaxed LaMn2Zn2 crystal from the Alexandria database. Energies are from PBE.

Properties
V, Å³ per cell: 167
Space-group type: No. 127
Spin magnetization, μB/atom: 0.004

Unit cell a=7.5926 b=7.5926 c=2.8959 alpha=90.00 beta=90.00 gamma=90.00
Fractional coordinates of all 10 atoms:
La 0.0000 0.0000 0.0000
La 0.5000 0.5000 0.0000
Mn 0.0944 0.4056 0.0000
Mn 0.4056 0.9056 0.0000
Mn 0.5944 0.0944 0.0000
Mn 0.9056 0.5944 0.0000
Zn 0.1818 0.6818 0.5000
Zn 0.3182 0.1818 0.5000
Zn 0.6818 0.8182 0.5000
Zn 0.8182 0.3182 0.5000

Stability summary - winner: b; margin: 0.222 eV/atom.